No. 1
{
  "formula": "SrZr2Be",
  "functional": "GGA-PBE",
  "state": "relaxed",
  "formation_energy_mev_per_atom": 298,
  "lattice_angstrom": [[3.241, 0.000, 0.000], [0.000, 3.241, 0.000], [0.000, 0.000, 9.155]],
  "species": ["Sr", "Zr", "Zr", "Be"],
  "fractional_positions": [[0.000, 0.000, 0.000], [0.500, 0.500, 0.336], [0.500, 0.500, 0.664], [0.000, 0.000, 0.500]]
}

No. 2
{
  "formula": "SrZr2Be",
  "functional": "GGA-PBE",
  "state": "relaxed",
  "formation_energy_mev_per_atom": 690,
  "lattice_angstrom": [[3.038, -5.598, 0.000], [3.038, 5.598, 0.000], [-1.584, 0.000, 2.809]],
  "species": ["Sr", "Zr", "Zr", "Be"],
  "fractional_positions": [[0.000, 0.000, 0.000], [0.000, 0.500, 0.500], [0.500, 0.000, 0.500], [0.500, 0.500, 0.000]]
}

No. 3
{
  "formula": "Sr2ZrBe",
  "functional": "GGA-PBE",
  "state": "relaxed",
  "formation_energy_mev_per_atom": 791,
  "lattice_angstrom": [[1.814, 1.047, 10.628], [-1.814, 1.047, 10.628], [0.000, -2.095, 10.628]],
  "species": ["Sr", "Sr", "Zr", "Be"],
  "fractional_positions": [[0.240, 0.240, 0.240], [0.760, 0.760, 0.760], [0.000, 0.000, 0.000], [0.500, 0.500, 0.500]]
}

No. 4
{
  "formula": "Sr2ZrBe",
  "functional": "GGA-PBE",
  "state": "relaxed",
  "formation_energy_mev_per_atom": 643,
  "lattice_angstrom": [[3.525, 0.000, 0.000], [0.000, 3.525, 0.000], [0.000, 0.000, 9.427]],
  "species": ["Sr", "Sr", "Zr", "Be"],
  "fractional_positions": [[0.000, 0.000, 0.210], [0.000, 0.000, 0.790], [0.500, 0.500, 0.500], [0.500, 0.500, 0.000]]
}

No. 5
{
  "formula": "SrZr2Be",
  "functional": "GGA-PBE",
  "state": "relaxed",
  "formation_energy_mev_per_atom": 318,
  "lattice_angstrom": [[-1.653, 2.600, 5.478], [1.653, -2.600, 5.478], [1.653, 2.600, -5.478]],
  "species": ["Sr", "Zr", "Zr", "Be"],
  "fractional_positions": [[0.000, 0.000, 0.000], [0.296, 0.796, 0.500], [0.704, 0.204, 0.500], [0.500, 0.500, 0.000]]
}

No. 6
{
  "formula": "SrZrBe3",
  "functional": "GGA-PBE",
  "state": "relaxed",
  "formation_energy_mev_per_atom": 1024,
  "e_above_lowest_polymorph_kcal_per_mol_atoms": 0.00,
  "lattice_angstrom": [[4.900, 0.000, 0.000], [0.000, 4.900, 0.000], [0.000, 0.000, 4.900]],
  "species": ["Sr", "Zr", "Be", "Be", "Be"],
  "fractional_positions": [[0.000, 0.000, 0.000], [0.500, 0.500, 0.500], [0.000, 0.500, 0.500], [0.500, 0.000, 0.500], [0.500, 0.500, 0.000]]
}

No. 7
{
  "formula": "SrZr2Be",
  "functional": "GGA-PBE",
  "state": "relaxed",
  "formation_energy_mev_per_atom": 695,
  "lattice_angstrom": [[0.000, 3.620, 3.620], [3.620, 0.000, 3.620], [3.620, 3.620, 0.000]],
  "species": ["Sr", "Zr", "Zr", "Be"],
  "fractional_positions": [[0.000, 0.000, 0.000], [0.250, 0.250, 0.250], [0.500, 0.500, 0.500], [0.750, 0.750, 0.750]]
}

No. 8
{
  "formula": "Sr2ZrBe",
  "functional": "GGA-PBE",
  "state": "relaxed",
  "formation_energy_mev_per_atom": 762,
  "lattice_angstrom": [[3.586, 0.000, 0.000], [0.000, 4.814, 0.000], [0.000, 0.000, 6.809]],
  "species": ["Sr", "Sr", "Zr", "Be"],
  "fractional_positions": [[0.000, 0.000, 0.237], [0.000, 0.000, 0.763], [0.500, 0.500, 0.500], [0.500, 0.500, 0.000]]
}

No. 9
{
  "formula": "SrZr2Be",
  "functional": "GGA-PBE",
  "state": "relaxed",
  "formation_energy_mev_per_atom": 658,
  "lattice_angstrom": [[4.462, 0.000, 0.000], [0.000, 4.462, 0.000], [0.000, 0.000, 4.632]],
  "species": ["Sr", "Zr", "Zr", "Be"],
  "fractional_positions": [[0.000, 0.000, 0.000], [0.000, 0.500, 0.500], [0.500, 0.000, 0.500], [0.500, 0.500, 0.000]]
}

No. 10
{
  "formula": "SrZr2Be",
  "functional": "GGA-PBE",
  "state": "relaxed",
  "formation_energy_mev_per_atom": 815,
  "lattice_angstrom": [[3.120, -4.988, 0.000], [3.120, 4.988, 0.000], [0.000, 0.000, 3.017]],
  "species": ["Sr", "Zr", "Zr", "Be"],
  "fractional_positions": [[0.000, 0.000, 0.000], [0.000, 0.500, 0.500], [0.500, 0.000, 0.500], [0.500, 0.500, 0.000]]
}

No. 11
{
  "formula": "Sr4ZrBe",
  "functional": "GGA-PBE",
  "state": "relaxed",
  "formation_energy_mev_per_atom": 1126,
  "lattice_angstrom": [[0.000, 4.919, 4.919], [4.919, 0.000, 4.919], [4.919, 4.919, 0.000]],
  "species": ["Sr", "Sr", "Sr", "Sr", "Zr", "Be"],
  "fractional_positions": [[0.125, 0.125, 0.125], [0.125, 0.125, 0.626], [0.125, 0.626, 0.125], [0.626, 0.125, 0.125], [0.750, 0.750, 0.750], [0.500, 0.500, 0.500]]
}

No. 12
{
  "formula": "SrZr2Be",
  "functional": "GGA-PBE",
  "state": "relaxed",
  "formation_energy_mev_per_atom": 539,
  "lattice_angstrom": [[-1.711, 2.457, 5.522], [1.711, -2.457, 5.522], [1.711, 2.457, -5.522]],
  "species": ["Sr", "Zr", "Zr", "Be"],
  "fractional_positions": [[0.000, 0.000, 0.000], [0.294, 0.794, 0.500], [0.598, 0.598, 0.000], [0.774, 0.274, 0.500]]
}

No. 13
{
  "formula": "SrZr2Be",
  "functional": "GGA-PBE",
  "state": "relaxed",
  "formation_energy_mev_per_atom": 497,
  "lattice_angstrom": [[1.702, 0.983, 9.809], [-1.702, 0.983, 9.809], [0.000, -1.965, 9.809]],
  "species": ["Sr", "Zr", "Zr", "Be"],
  "fractional_positions": [[0.000, 0.000, 0.000], [0.226, 0.226, 0.226], [0.478, 0.478, 0.478], [0.747, 0.747, 0.747]]
}

No. 14
{
  "formula": "SrZr2Be",
  "functional": "GGA-PBE",
  "state": "relaxed",
  "formation_energy_mev_per_atom": 478,
  "lattice_angstrom": [[5.031, -1.670, 0.000], [5.031, 1.670, 0.000], [-1.459, 0.000, 6.225]],
  "species": ["Sr", "Zr", "Zr", "Be"],
  "fractional_positions": [[0.000, 0.000, 0.000], [0.204, 0.204, 0.612], [0.456, 0.456, 0.480], [0.744, 0.744, 0.310]]
}

No. 15
{
  "formula": "SrZr2Be",
  "functional": "GGA-PBE",
  "state": "relaxed",
  "formation_energy_mev_per_atom": 247,
  "lattice_angstrom": [[3.401, 0.000, 0.000], [0.000, 3.401, 0.000], [0.000, 0.000, 8.434]],
  "species": ["Sr", "Zr", "Zr", "Be"],
  "fractional_positions": [[0.000, 0.000, 0.000], [0.000, 0.000, 0.406], [0.500, 0.500, 0.639], [0.500, 0.500, 0.260]]
}

No. 16
{
  "formula": "Sr2ZrBe",
  "functional": "GGA-PBE",
  "state": "relaxed",
  "formation_energy_mev_per_atom": 482,
  "lattice_angstrom": [[6.700, -1.770, 0.000], [6.700, 1.770, 0.000], [-2.355, 0.000, 5.102]],
  "species": ["Sr", "Sr", "Zr", "Be"],
  "fractional_positions": [[0.000, 0.000, 0.000], [0.203, 0.203, 0.703], [0.813, 0.813, 0.314], [0.468, 0.468, 0.468]]
}

No. 17
{
  "formula": "Sr2ZrBe",
  "functional": "GGA-PBE",
  "state": "relaxed",
  "formation_energy_mev_per_atom": 433,
  "lattice_angstrom": [[-1.764, 2.025, 9.134], [1.764, -2.025, 9.134], [1.764, 2.025, -9.134]],
  "species": ["Sr", "Sr", "Zr", "Be"],
  "fractional_positions": [[0.153, 0.153, 0.000], [0.847, 0.847, 0.000], [0.500, 0.000, 0.500], [0.000, 0.500, 0.500]]
}

No. 18
{
  "formula": "Sr2ZrBe",
  "functional": "GGA-PBE",
  "state": "relaxed",
  "formation_energy_mev_per_atom": 807,
  "lattice_angstrom": [[-5.497, 5.497, 2.456], [5.497, -5.497, 2.456], [5.497, 5.497, -2.456]],
  "species": ["Sr", "Sr", "Sr", "Sr", "Zr", "Zr", "Be", "Be"],
  "fractional_positions": [[0.375, 0.025, 0.150], [0.775, 0.625, 0.650], [0.875, 0.225, 0.850], [0.975, 0.125, 0.350], [0.250, 0.750, 0.500], [0.500, 0.500, 0.000], [0.000, 0.000, 0.000], [0.750, 0.250, 0.500]]
}

No. 19
{
  "formula": "Sr2ZrBe",
  "functional": "GGA-PBE",
  "state": "relaxed",
  "formation_energy_mev_per_atom": 330,
  "lattice_angstrom": [[3.530, 0.000, 0.000], [0.000, 3.528, 0.000], [-0.008, 0.000, 9.699]],
  "species": ["Sr", "Sr", "Zr", "Be"],
  "fractional_positions": [[0.000, 0.000, 0.000], [0.499, 0.500, 0.372], [0.999, 0.000, 0.660], [0.499, 0.500, 0.772]]
}

No. 20
{
  "formula": "SrZr2Be",
  "functional": "GGA-PBE",
  "state": "relaxed",
  "formation_energy_mev_per_atom": 667,
  "lattice_angstrom": [[3.261, 0.000, 0.000], [0.000, 5.205, 0.000], [0.000, 0.000, 5.606]],
  "species": ["Sr", "Zr", "Zr", "Be"],
  "fractional_positions": [[0.000, 0.000, 0.000], [0.000, 0.500, 0.500], [0.500, 0.000, 0.500], [0.500, 0.500, 0.000]]
}

No. 21
{
  "formula": "Ta3Be",
  "functional": "GGA-PBE",
  "state": "relaxed",
  "formation_energy_mev_per_atom": 105,
  "e_above_lowest_polymorph_kcal_per_mol_atoms": 2.37,
  "lattice_angstrom": [[4.269, 0.000, 0.000], [0.000, 4.269, 0.000], [0.000, 0.000, 3.577]],
  "species": ["Ta", "Ta", "Ta", "Be"],
  "fractional_positions": [[0.000, 0.000, 0.000], [0.000, 0.500, 0.500], [0.500, 0.000, 0.500], [0.500, 0.500, 0.000]]
}

No. 22
{
  "formula": "TaBe",
  "functional": "GGA-PBE",
  "state": "relaxed",
  "formation_energy_mev_per_atom": 374,
  "e_above_lowest_polymorph_kcal_per_mol_atoms": 12.91,
  "lattice_angstrom": [[2.868, 0.000, 0.000], [-1.434, 2.483, 0.000], [0.000, 0.000, 8.120]],
  "species": ["Ta", "Ta", "Be", "Be"],
  "fractional_positions": [[0.333, 0.667, 0.161], [0.667, 0.333, 0.839], [0.333, 0.667, 0.591], [0.667, 0.333, 0.409]]
}

No. 23
{
  "formula": "TaBe",
  "functional": "GGA-PBE",
  "state": "relaxed",
  "formation_energy_mev_per_atom": -92,
  "e_above_lowest_polymorph_kcal_per_mol_atoms": 2.16,
  "lattice_angstrom": [[4.758, 0.000, 0.000], [0.000, 4.862, 0.000], [0.000, 0.000, 9.190]],
  "species": ["Ta", "Ta", "Ta", "Ta", "Ta", "Ta", "Ta", "Ta", "Be", "Be", "Be", "Be", "Be", "Be", "Be", "Be"],
  "fractional_positions": [[0.122, 0.093, 0.020], [0.131, 0.641, 0.813], [0.369, 0.359, 0.313], [0.378, 0.907, 0.520], [0.622, 0.407, 0.980], [0.631, 0.859, 0.187], [0.869, 0.141, 0.687], [0.878, 0.593, 0.480], [0.136, 0.588, 0.095], [0.139, 0.859, 0.275], [0.361, 0.141, 0.775], [0.364, 0.412, 0.595], [0.636, 0.912, 0.905], [0.639, 0.641, 0.725], [0.861, 0.359, 0.225], [0.864, 0.088, 0.405]]
}

No. 24
{
  "formula": "TaBe",
  "functional": "GGA-PBE",
  "state": "relaxed",
  "formation_energy_mev_per_atom": 89,
  "e_above_lowest_polymorph_kcal_per_mol_atoms": 6.34,
  "lattice_angstrom": [[-1.790, 1.790, 4.331], [1.790, -1.790, 4.331], [1.790, 1.790, -4.331]],
  "species": ["Ta", "Ta", "Be", "Be"],
  "fractional_positions": [[0.375, 0.625, 0.750], [0.625, 0.375, 0.250], [0.125, 0.875, 0.250], [0.875, 0.125, 0.750]]
}

No. 25
{
  "formula": "Ta2Be",
  "functional": "GGA-PBE",
  "state": "relaxed",
  "formation_energy_mev_per_atom": 135,
  "e_above_lowest_polymorph_kcal_per_mol_atoms": 6.96,
  "lattice_angstrom": [[5.452, -1.414, 0.000], [5.452, 1.414, 0.000], [-1.758, 0.000, 6.012]],
  "species": ["Ta", "Ta", "Ta", "Ta", "Be", "Be"],
  "fractional_positions": [[0.132, 0.132, 0.037], [0.172, 0.172, 0.609], [0.828, 0.828, 0.391], [0.868, 0.868, 0.963], [0.480, 0.480, 0.700], [0.520, 0.520, 0.300]]
}

No. 26
{
  "formula": "TaBe5",
  "functional": "GGA-PBE",
  "state": "relaxed",
  "formation_energy_mev_per_atom": 22,
  "lattice_angstrom": [[1.737, -4.875, 0.000], [1.737, 4.875, 0.000], [0.000, 0.000, 3.589]],
  "species": ["Ta", "Be", "Be", "Be", "Be", "Be"],
  "fractional_positions": [[0.000, 0.000, 0.000], [0.171, 0.829, 0.500], [0.308, 0.692, 0.000], [0.500, 0.500, 0.500], [0.692, 0.308, 0.000], [0.829, 0.171, 0.500]]
}

No. 27
{
  "formula": "Ta3Be",
  "functional": "GGA-PBE",
  "state": "relaxed",
  "formation_energy_mev_per_atom": 216,
  "e_above_lowest_polymorph_kcal_per_mol_atoms": 4.92,
  "lattice_angstrom": [[2.791, 0.000, 0.000], [0.000, 4.551, 0.000], [-0.795, 0.000, 5.219]],
  "species": ["Ta", "Ta", "Ta", "Be"],
  "fractional_positions": [[0.000, 0.000, 0.000], [0.277, 0.500, 0.743], [0.723, 0.500, 0.257], [0.500, 0.000, 0.500]]
}

No. 28
{
  "formula": "Ta3Be2",
  "functional": "GGA-PBE",
  "state": "relaxed",
  "formation_energy_mev_per_atom": -188,
  "lattice_angstrom": [[6.505, 0.000, 0.000], [0.000, 6.505, 0.000], [0.000, 0.000, 3.361]],
  "species": ["Ta", "Ta", "Ta", "Ta", "Ta", "Ta", "Be", "Be", "Be", "Be"],
  "fractional_positions": [[0.000, 0.000, 0.000], [0.179, 0.321, 0.500], [0.321, 0.821, 0.500], [0.500, 0.500, 0.000], [0.679, 0.179, 0.500], [0.821, 0.679, 0.500], [0.114, 0.614, 0.000], [0.386, 0.114, 0.000], [0.614, 0.886, 0.000], [0.886, 0.386, 0.000]]
}

No. 29
{
  "formula": "Ta2Be",
  "functional": "GGA-PBE",
  "state": "relaxed",
  "formation_energy_mev_per_atom": 80,
  "e_above_lowest_polymorph_kcal_per_mol_atoms": 5.71,
  "lattice_angstrom": [[4.784, -1.416, 0.000], [4.784, 1.416, 0.000], [-2.897, 0.000, 6.773]],
  "species": ["Ta", "Ta", "Ta", "Ta", "Be", "Be"],
  "fractional_positions": [[0.022, 0.022, 0.202], [0.344, 0.344, 0.390], [0.656, 0.656, 0.610], [0.978, 0.978, 0.798], [0.301, 0.301, 0.933], [0.699, 0.699, 0.067]]
}